# PBEsol LaIn2Cu, optimized geometry
data_LaIn2Cu
_cell_length_a 5.0555
_cell_length_b 5.0654
_cell_length_c 5.0555
_cell_angle_alpha 60.06
_cell_angle_beta 90.00
_cell_angle_gamma 119.94
_symmetry_space_group_name_H-M 'P 1'
_symmetry_Int_Tables_number 1
loop_
_symmetry_equiv_pos_as_xyz
'x,y,z'
loop_
_atom_site_label
_atom_site_fract_x
_atom_site_fract_y
_atom_site_fract_z
In1 0.2500 0.5000 0.2500
La1 0.5000 0.0000 0.5000
In2 0.7500 0.5000 0.7500
Cu1 0.0000 0.0000 0.0000
# - E (eV/atom) = -4.067
# - ΔE_f (eV/f.u.) = -0.622

# PBEsol B3HS, optimized geometry
data_B3HS
_cell_length_a 3.7422
_cell_length_b 3.7422
_cell_length_c 3.7422
_cell_angle_alpha 90.00
_cell_angle_beta 90.00
_cell_angle_gamma 90.00
_symmetry_space_group_name_H-M 'P 1'
_symmetry_Int_Tables_number 1
loop_
_symmetry_equiv_pos_as_xyz
'x,y,z'
loop_
_atom_site_label
_atom_site_fract_x
_atom_site_fract_y
_atom_site_fract_z
B1 0.5000 0.0000 0.0000
B2 0.0000 0.0000 0.5000
H1 0.5000 0.5000 0.5000
B3 0.0000 0.5000 0.0000
S1 0.0000 0.0000 0.0000
# - E (eV/atom) = -3.611
# - offset from the most stable computed form (meV per atom) = 326

# PBEsol ZrWBr, optimized geometry
data_ZrWBr
_cell_length_a 4.4524
_cell_length_b 4.4524
_cell_length_c 4.4524
_cell_angle_alpha 60.00
_cell_angle_beta 60.00
_cell_angle_gamma 60.00
_symmetry_space_group_name_H-M 'P 1'
_symmetry_Int_Tables_number 1
loop_
_symmetry_equiv_pos_as_xyz
'x,y,z'
loop_
_atom_site_label
_atom_site_fract_x
_atom_site_fract_y
_atom_site_fract_z
W1 0.2500 0.2500 0.2500
Br1 0.5000 0.5000 0.5000
Zr1 0.0000 0.0000 0.0000
# - E (eV/atom) = -7.026
# - offset from the most stable computed form (meV per atom) = 834

# PBEsol CaNiPb2, optimized geometry
data_CaNiPb2
_cell_length_a 5.0902
_cell_length_b 5.0902
_cell_length_c 5.0902
_cell_angle_alpha 60.00
_cell_angle_beta 60.00
_cell_angle_gamma 60.00
_symmetry_space_group_name_H-M 'P 1'
_symmetry_Int_Tables_number 1
loop_
_symmetry_equiv_pos_as_xyz
'x,y,z'
loop_
_atom_site_label
_atom_site_fract_x
_atom_site_fract_y
_atom_site_fract_z
Ca1 0.5000 0.5000 0.5000
Pb1 0.0000 0.0000 0.0000
Pb2 0.7500 0.7500 0.7500
Ni1 0.2500 0.2500 0.2500
# - E (eV/atom) = -3.998
# - ΔE_f (eV/f.u.) = 0.295

# PBEsol Tc3P, optimized geometry
data_Tc3P
_cell_length_a 5.1145
_cell_length_b 5.6066
_cell_length_c 7.5038
_cell_angle_alpha 90.00
_cell_angle_beta 90.00
_cell_angle_gamma 90.00
_symmetry_space_group_name_H-M 'P 1'
_symmetry_Int_Tables_number 1
loop_
_symmetry_equiv_pos_as_xyz
'x,y,z'
loop_
_atom_site_label
_atom_site_fract_x
_atom_site_fract_y
_atom_site_fract_z
P1 0.5593 0.8800 0.7500
Tc1 0.3649 0.5074 0.7500
Tc2 0.3471 0.8061 0.0550
P2 0.4407 0.1200 0.2500
P3 0.9407 0.3800 0.7500
Tc3 0.8471 0.6939 0.5550
Tc4 0.6529 0.1939 0.9450
Tc5 0.1351 0.0074 0.7500
Tc6 0.1529 0.3061 0.0550
Tc7 0.6529 0.1939 0.5550
Tc8 0.1529 0.3061 0.4450
Tc9 0.3471 0.8061 0.4450
Tc10 0.6351 0.4926 0.2500
P4 0.0593 0.6200 0.2500
Tc11 0.8649 0.9926 0.2500
Tc12 0.8471 0.6939 0.9450
# - E (eV/atom) = -10.203
# - ΔE_f (eV/f.u.) = -1.221
# - offset from the most stable computed form (meV per atom) = 84

# PBEsol ScMn2Ru, optimized geometry
data_ScMn2Ru
_cell_length_a 2.7632
_cell_length_b 3.7956
_cell_length_c 5.3508
_cell_angle_alpha 90.00
_cell_angle_beta 90.00
_cell_angle_gamma 90.00
_symmetry_space_group_name_H-M 'P 1'
_symmetry_Int_Tables_number 1
loop_
_symmetry_equiv_pos_as_xyz
'x,y,z'
loop_
_atom_site_label
_atom_site_fract_x
_atom_site_fract_y
_atom_site_fract_z
Mn1 0.0000 0.0000 0.2231
Sc1 0.5000 0.5000 0.5000
Ru1 0.5000 0.5000 0.0000
Mn2 0.0000 0.0000 0.7769
# - E (eV/atom) = -8.855
# - ΔE_f (eV/f.u.) = 0.879

# PBEsol BaSb2MoI, optimized geometry
data_BaSb2MoI
_cell_length_a 5.1635
_cell_length_b 5.1635
_cell_length_c 5.9510
_cell_angle_alpha 90.00
_cell_angle_beta 90.00
_cell_angle_gamma 90.00
_symmetry_space_group_name_H-M 'P 1'
_symmetry_Int_Tables_number 1
loop_
_symmetry_equiv_pos_as_xyz
'x,y,z'
loop_
_atom_site_label
_atom_site_fract_x
_atom_site_fract_y
_atom_site_fract_z
Sb1 0.0000 0.5000 0.0000
Sb2 0.5000 0.0000 0.0000
Mo1 0.0000 0.0000 0.0000
Ba1 0.5000 0.5000 0.5000
I1 0.0000 0.0000 0.5000
# - E (eV/atom) = -5.171

# PBEsol TaCd3Re, optimized geometry
data_TaCd3Re
_cell_length_a 5.0201
_cell_length_b 5.0201
_cell_length_c 5.0201
_cell_angle_alpha 90.00
_cell_angle_beta 90.00
_cell_angle_gamma 90.00
_symmetry_space_group_name_H-M 'P 1'
_symmetry_Int_Tables_number 1
loop_
_symmetry_equiv_pos_as_xyz
'x,y,z'
loop_
_atom_site_label
_atom_site_fract_x
_atom_site_fract_y
_atom_site_fract_z
Cd1 0.0000 0.5000 0.0000
Cd2 0.0000 0.0000 0.5000
Re1 0.0000 0.0000 0.0000
Cd3 0.5000 0.0000 0.0000
Ta1 0.5000 0.5000 0.5000
# - E (eV/atom) = -3.883
# - ΔE_f (eV/f.u.) = 10.061

# PBEsol NaZn2SiPb, optimized geometry
data_NaZn2SiPb
_cell_length_a 5.4840
_cell_length_b 5.2992
_cell_length_c 5.2992
_cell_angle_alpha 90.00
_cell_angle_beta 90.00
_cell_angle_gamma 90.00
_symmetry_space_group_name_H-M 'P 1'
_symmetry_Int_Tables_number 1
loop_
_symmetry_equiv_pos_as_xyz
'x,y,z'
loop_
_atom_site_label
_atom_site_fract_x
_atom_site_fract_y
_atom_site_fract_z
Si1 0.5000 0.0000 0.0000
Na1 0.5000 0.5000 0.5000
Zn1 0.0000 0.0000 0.5000
Zn2 0.0000 0.5000 0.0000
Pb1 0.0000 0.0000 0.0000
# - E (eV/atom) = -2.098

# PBEsol CsPO3, optimized geometry
data_CsPO3
_cell_length_a 4.5816
_cell_length_b 6.4423
_cell_length_c 13.2686
_cell_angle_alpha 90.00
_cell_angle_beta 90.00
_cell_angle_gamma 90.00
_symmetry_space_group_name_H-M 'P 1'
_symmetry_Int_Tables_number 1
loop_
_symmetry_equiv_pos_as_xyz
'x,y,z'
loop_
_atom_site_label
_atom_site_fract_x
_atom_site_fract_y
_atom_site_fract_z
O1 0.2296 0.9505 0.8764
O2 0.6648 0.2500 0.2863
P1 0.6749 0.7500 0.6775
O3 0.8352 0.7500 0.7863
P2 0.1749 0.7500 0.8225
Cs1 0.2755 0.7500 0.0948
O4 0.2704 0.4505 0.3764
O5 0.7704 0.0495 0.1236
O6 0.2704 0.0495 0.3764
Cs2 0.7755 0.7500 0.4052
O7 0.1648 0.2500 0.2137
O8 0.7704 0.4505 0.1236
Cs3 0.7245 0.2500 0.9052
P3 0.8251 0.2500 0.1775
O9 0.7296 0.9505 0.6236
O10 0.7296 0.5495 0.6236
O11 0.3352 0.7500 0.7137
P4 0.3251 0.2500 0.3225
Cs4 0.2245 0.2500 0.5948
O12 0.2296 0.5495 0.8764
# - E (eV/atom) = -6.774

# PBEsol Si3SbRh, optimized geometry
data_Si3SbRh
_cell_length_a 4.9322
_cell_length_b 4.9322
_cell_length_c 4.9322
_cell_angle_alpha 90.00
_cell_angle_beta 90.00
_cell_angle_gamma 90.00
_symmetry_space_group_name_H-M 'P 1'
_symmetry_Int_Tables_number 1
loop_
_symmetry_equiv_pos_as_xyz
'x,y,z'
loop_
_atom_site_label
_atom_site_fract_x
_atom_site_fract_y
_atom_site_fract_z
Si1 0.5000 0.0000 0.0000
Rh1 0.5000 0.5000 0.5000
Sb1 0.0000 0.0000 0.0000
Si2 0.0000 0.0000 0.5000
Si3 0.0000 0.5000 0.0000
# - E (eV/atom) = -4.186

# PBEsol KTlS2, optimized geometry
data_KTlS2
_cell_length_a 6.7618
_cell_length_b 6.7618
_cell_length_c 6.7618
_cell_angle_alpha 99.38
_cell_angle_beta 114.74
_cell_angle_gamma 114.74
_symmetry_space_group_name_H-M 'P 1'
_symmetry_Int_Tables_number 1
loop_
_symmetry_equiv_pos_as_xyz
'x,y,z'
loop_
_atom_site_label
_atom_site_fract_x
_atom_site_fract_y
_atom_site_fract_z
K1 0.0000 0.5000 0.5000
Tl1 0.5000 0.7500 0.2500
S1 0.4370 0.3750 0.3120
S2 0.5630 0.8750 0.9380
S3 0.0630 0.6880 0.1250
S4 0.9370 0.0620 0.6250
Tl2 0.0000 0.0000 0.0000
K2 0.5000 0.2500 0.7500
# - E (eV/atom) = -3.739

Q: Which value of E does entry 3 give?
A: -7.026 eV/atom

Q: The highest E belongs to which entry?
A: NaZn2SiPb

Q: Which value of E does entry 4 give?
A: -3.998 eV/atom

Q: What is the E in the seventh record?
A: -5.171 eV/atom